1.
Computed, not measured: MgCd2Pb after structural relaxation at the PBE-GGA level of DFT.

The relative energy among the computed polymorphs comes out at 0.79 kJ/mol of atoms. The calculation puts the mass density at 7.6 g cm⁻³. Its density of states at the Fermi level is 2.7 states/eV/cell. Its total energy is -0.1316 Ry per atom.

It has space group Cmmm (No. 65), with a = 6.257 Å, b = 9.017 Å, c = 3.524 Å, α = 90.00°, β = 90.00° and γ = 90.00°. The asymmetric unit holds Mg at (0.000, 0.000, 0.000), Cd at (0.250, 0.250, 0.500) and Pb at (0.000, 0.500, 0.000).

2.
Computed, not measured: Mg5CdPb after structural relaxation at the PBE-GGA level of DFT.

The relative energy among the computed polymorphs comes out at 3.99 kJ/mol of atoms. The calculation puts the mass density at 4.2 g cm⁻³. Its density of states at the Fermi level is 10.1 states/eV/cell. Its total energy is -0.1289 Ry per atom.

It has space group C2/c (No. 15), with a = 10.508 Å, b = 10.328 Å, c = 7.309 Å, α = 90.00°, β = 117.83° and γ = 90.00°. The asymmetric unit holds Mg at (0.000, 0.079, 0.250), Mg at (0.044, 0.365, 0.077), Mg at (0.240, 0.413, 0.876), Cd at (0.000, 0.190, 0.750) and Pb at (0.250, 0.250, 0.500).